DFT (PBE) results for crystalline KZrCr4 at its relaxed geometry.

Crystal system: cubic
Formation energy from the elements (eV per atom): 1.05

a = 7.2851 Å, b = 7.2851 Å, c = 7.2851 Å
α = 90.00°, β = 90.00°, γ = 90.00°
Space group F-43m (No. 216)
Inequivalent atoms, fractional coordinates:
K (0.0000, 0.0000, 0.0000) [4 per cell]
Zr (0.2500, 0.2500, 0.7500) [4 per cell]
Cr (0.1263, 0.1263, 0.3737) [16 per cell]